Compound: HfMnN2F
Source: Alexandria
Functional: PBE+U
Structure: optimized geometry

```
HfMnN2F
1.0
4.199 0.000 0.000
0.000 4.199 0.000
0.000 0.000 4.045
Hf Mn N F
1 1 2 1
direct
0.000 0.000 0.000
0.500 0.500 0.500
0.000 0.500 0.000
0.500 0.000 0.000
0.000 0.000 0.500
```

**Final energy**: -8.0071 eV/atom
**Total magnetization**: 4.761 Bohr magnetons per cell